Entry from Alexandria: a relaxed structure of CoH2OF (GGA+U).

**Raw total energy**: -3.79 eV/atom

a b c (Å): 2.8921 2.8921 5.1502
angles (deg): 90.00 90.00 90.00
Space group P4/mmm (No. 123)
One atom of each set of equivalent atoms:
1 Co 0.0000 0.0000 0.0000 x1
2 H 0.0000 0.5000 0.5000 x2
3 O 0.5000 0.5000 0.0000 x1
4 F 0.0000 0.0000 0.5000 x1